## ReTeAsI2 (PBE-GGA)

Data for a relaxed structure of ReTeAsI2.

Cell: 5.418 5.418 5.130 Å, 90.00 90.00 90.00°
Fractional positions:
I  0.000  0.500  0.000
I  0.500  0.000  0.000
Re  0.000  0.000  0.000
As  0.500  0.500  0.500
Te  0.000  0.000  0.500

- symmetry = P4/mmm
- energy (eV per atom) = -3.6838
- total moment (μB per cell) = 0.0
- excess energy over the best structure of this formula in the dataset (eV/atom) = 0.000
- DOS(E_F) (states/eV/atom) = 1.416
- formation energy from raw total energies (eV per atom) = 0.98